In2AsP | GGA-PBE | optimized geometry

Geometry as POSCAR:
```
In2AsP
1.0
-2.641 2.641 3.122
2.641 -2.641 3.122
2.641 2.641 -3.122
In As P
2 1 1
direct
0.250 0.750 0.500 In
0.750 0.250 0.500 In
0.000 0.000 0.000 As
0.500 0.500 0.000 P
```

## Properties
ΔH_f (0 K)   114 kJ/mol of formula units
ΔE to the lowest computed polymorph   11.99 kcal/mol of atoms
DOS at the Fermi energy   2.32 states/eV/cell